(1)
The following is a GGA-PBE calculation of crystalline CrSn2TePb at its relaxed geometry, from Alexandria.

Structure (CIF):
```
data_CrSn2TePb
_symmetry_space_group_name_H-M 'P 4/m m m'
_symmetry_Int_Tables_number 123
_symmetry_space_group_name_Hall '-P 4 2'
_cell_length_a 5.748
_cell_length_b 5.748
_cell_length_c 5.993
_cell_angle_alpha 90.00
_cell_angle_beta 90.00
_cell_angle_gamma 90.00
loop_
_atom_site_label
_atom_site_type_symbol
_atom_site_fract_x
_atom_site_fract_y
_atom_site_fract_z
Cr1 Cr 0.000 0.000 0.000
Sn1 Sn 0.000 0.500 0.500
Te1 Te 0.500 0.500 0.000
Pb1 Pb 0.500 0.500 0.500
```

ΔE_f (raw)   1068 meV per atom

=====

(2)
The following is a GGA-PBE calculation of crystalline TlCr2SnPb at its relaxed geometry, from Alexandria.

Structure (CIF):
```
data_TlCr2SnPb
_symmetry_space_group_name_H-M 'P 4/m m m'
_symmetry_Int_Tables_number 123
_symmetry_space_group_name_Hall '-P 4 2'
_cell_length_a 5.225
_cell_length_b 5.225
_cell_length_c 5.907
_cell_angle_alpha 90.00
_cell_angle_beta 90.00
_cell_angle_gamma 90.00
loop_
_atom_site_label
_atom_site_type_symbol
_atom_site_fract_x
_atom_site_fract_y
_atom_site_fract_z
Tl1 Tl 0.000 0.000 0.000
Cr1 Cr 0.000 0.500 0.500
Sn1 Sn 0.500 0.500 0.500
Pb1 Pb 0.500 0.500 0.000
```

Energy relative to the elements   0.94 eV per atom

=====

(3)
The following is a GGA-PBE calculation of crystalline YCrSnPb2 at its relaxed geometry, from Alexandria.

Structure (CIF):
```
data_YCrSnPb2
_symmetry_space_group_name_H-M 'P 4/m m m'
_symmetry_Int_Tables_number 123
_symmetry_space_group_name_Hall '-P 4 2'
_cell_length_a 5.209
_cell_length_b 5.209
_cell_length_c 5.268
_cell_angle_alpha 90.00
_cell_angle_beta 90.00
_cell_angle_gamma 90.00
loop_
_atom_site_label
_atom_site_type_symbol
_atom_site_fract_x
_atom_site_fract_y
_atom_site_fract_z
Y1 Y 0.000 0.000 0.000
Cr1 Cr 0.000 0.000 0.500
Sn1 Sn 0.500 0.500 0.000
Pb1 Pb 0.000 0.500 0.500
```

Energy relative to the elements   0.29 eV per atom

=====

(4)
The following is a GGA-PBE calculation of crystalline SrCrPb at its relaxed geometry, from Alexandria.

Structure (CIF):
```
data_SrCrPb
_symmetry_space_group_name_H-M 'I 4 m m'
_symmetry_Int_Tables_number 107
_symmetry_space_group_name_Hall 'I 4 -2'
_cell_length_a 3.901
_cell_length_b 3.901
_cell_length_c 11.621
_cell_angle_alpha 90.00
_cell_angle_beta 90.00
_cell_angle_gamma 90.00
loop_
_atom_site_label
_atom_site_type_symbol
_atom_site_fract_x
_atom_site_fract_y
_atom_site_fract_z
Sr1 Sr 0.000 0.000 0.000
Cr1 Cr 0.000 0.000 0.700
Pb1 Pb 0.000 0.000 0.303
```

Energy relative to the elements   0.25 eV per atom

=====

(5)
The following is a GGA-PBE calculation of crystalline SrCrPb2 at its relaxed geometry, from Alexandria.

Structure (CIF):
```
data_SrCrPb2
_symmetry_space_group_name_H-M 'F -4 3 m'
_symmetry_Int_Tables_number 216
_symmetry_space_group_name_Hall 'F -4 2 3'
_cell_length_a 7.818
_cell_length_b 7.818
_cell_length_c 7.818
_cell_angle_alpha 90.00
_cell_angle_beta 90.00
_cell_angle_gamma 90.00
loop_
_atom_site_label
_atom_site_type_symbol
_atom_site_fract_x
_atom_site_fract_y
_atom_site_fract_z
Sr1 Sr 0.000 0.000 0.000
Cr1 Cr 0.250 0.250 0.250
Pb1 Pb 0.000 0.000 0.500
Pb2 Pb 0.250 0.250 0.750
```

Energy relative to the elements   0.23 eV per atom

=====

(6)
The following is a GGA-PBE calculation of crystalline SrCrPb2 at its relaxed geometry, from Alexandria.

Structure (CIF):
```
data_SrCrPb2
_symmetry_space_group_name_H-M 'C 1 2/m 1'
_symmetry_Int_Tables_number 12
_symmetry_space_group_name_Hall '-C 2y'
_cell_length_a 6.834
_cell_length_b 9.263
_cell_length_c 3.637
_cell_angle_alpha 90.00
_cell_angle_beta 90.12
_cell_angle_gamma 90.00
loop_
_atom_site_label
_atom_site_type_symbol
_atom_site_fract_x
_atom_site_fract_y
_atom_site_fract_z
Sr1 Sr 0.000 0.000 0.000
Cr1 Cr 0.000 0.500 0.000
Pb1 Pb 0.250 0.250 0.500
```

Energy relative to the elements   0.18 eV per atom

=====

(7)
The following is a GGA-PBE calculation of crystalline SrCr2Pb at its relaxed geometry, from Alexandria.

Structure (CIF):
```
data_SrCr2Pb
_symmetry_space_group_name_H-M 'R 3 m'
_symmetry_Int_Tables_number 160
_symmetry_space_group_name_Hall 'R 3 -2"'
_cell_length_a 4.6490
_cell_length_b 4.6490
_cell_length_c 17.0948
_cell_angle_alpha 90.00
_cell_angle_beta 90.00
_cell_angle_gamma 120.00
loop_
_atom_site_label
_atom_site_type_symbol
_atom_site_fract_x
_atom_site_fract_y
_atom_site_fract_z
Sr1 Sr 0.0000 0.0000 0.0000
Cr1 Cr 0.0000 0.0000 0.1996
Cr2 Cr 0.0000 0.0000 0.5226
Pb1 Pb 0.0000 0.0000 0.8015
```

Energy relative to the elements   0.30 eV per atom

=====

(8)
The following is a GGA-PBE calculation of crystalline SrCrPb at its relaxed geometry, from Alexandria.

Structure (CIF):
```
data_SrCrPb
_symmetry_space_group_name_H-M 'P -6 m 2'
_symmetry_Int_Tables_number 187
_symmetry_space_group_name_Hall 'P -6 2'
_cell_length_a 5.0843
_cell_length_b 5.0843
_cell_length_c 3.9602
_cell_angle_alpha 90.00
_cell_angle_beta 90.00
_cell_angle_gamma 120.00
loop_
_atom_site_label
_atom_site_type_symbol
_atom_site_fract_x
_atom_site_fract_y
_atom_site_fract_z
Sr1 Sr 0.0000 0.0000 0.0000
Cr1 Cr 0.6667 0.3333 0.5000
Pb1 Pb 0.3333 0.6667 0.5000
```

Energy relative to the elements   0.11 eV per atom

=====

(9)
The following is a GGA-PBE calculation of crystalline SrCrPb2 at its relaxed geometry, from Alexandria.

Structure (CIF):
```
data_SrCrPb2
_symmetry_space_group_name_H-M 'P 4/m m m'
_symmetry_Int_Tables_number 123
_symmetry_space_group_name_Hall '-P 4 2'
_cell_length_a 4.893
_cell_length_b 4.893
_cell_length_c 4.726
_cell_angle_alpha 90.00
_cell_angle_beta 90.00
_cell_angle_gamma 90.00
loop_
_atom_site_label
_atom_site_type_symbol
_atom_site_fract_x
_atom_site_fract_y
_atom_site_fract_z
Sr1 Sr 0.000 0.000 0.000
Cr1 Cr 0.500 0.500 0.000
Pb1 Pb 0.000 0.500 0.500
```

Energy relative to the elements   0.10 eV per atom

=====

(10)
The following is a GGA-PBE calculation of crystalline SrCr2Pb at its relaxed geometry, from Alexandria.

Structure (CIF):
```
data_SrCr2Pb
_symmetry_space_group_name_H-M 'P 4/m m m'
_symmetry_Int_Tables_number 123
_symmetry_space_group_name_Hall '-P 4 2'
_cell_length_a 3.831
_cell_length_b 3.831
_cell_length_c 7.304
_cell_angle_alpha 90.00
_cell_angle_beta 90.00
_cell_angle_gamma 90.00
loop_
_atom_site_label
_atom_site_type_symbol
_atom_site_fract_x
_atom_site_fract_y
_atom_site_fract_z
Sr1 Sr 0.000 0.000 0.000
Cr1 Cr 0.500 0.500 0.297
Pb1 Pb 0.000 0.000 0.500
```

Energy relative to the elements   0.66 eV per atom

=====

(11)
The following is a GGA-PBE calculation of crystalline SrCrPb2 at its relaxed geometry, from Alexandria.

Structure (CIF):
```
data_SrCrPb2
_symmetry_space_group_name_H-M 'I m m 2'
_symmetry_Int_Tables_number 44
_symmetry_space_group_name_Hall 'I 2 -2'
_cell_length_a 4.613
_cell_length_b 4.645
_cell_length_c 11.302
_cell_angle_alpha 90.00
_cell_angle_beta 90.00
_cell_angle_gamma 90.00
loop_
_atom_site_label
_atom_site_type_symbol
_atom_site_fract_x
_atom_site_fract_y
_atom_site_fract_z
Sr1 Sr 0.000 0.000 0.000
Cr1 Cr 0.000 0.500 0.743
Pb1 Pb 0.000 0.000 0.577
Pb2 Pb 0.000 0.500 0.271
```

Energy relative to the elements   0.14 eV per atom

=====

(12)
The following is a GGA-PBE calculation of crystalline SrCr2Pb at its relaxed geometry, from Alexandria.

Structure (CIF):
```
data_SrCr2Pb
_symmetry_space_group_name_H-M 'F -4 3 m'
_symmetry_Int_Tables_number 216
_symmetry_space_group_name_Hall 'F -4 2 3'
_cell_length_a 7.465
_cell_length_b 7.465
_cell_length_c 7.465
_cell_angle_alpha 90.00
_cell_angle_beta 90.00
_cell_angle_gamma 90.00
loop_
_atom_site_label
_atom_site_type_symbol
_atom_site_fract_x
_atom_site_fract_y
_atom_site_fract_z
Sr1 Sr 0.000 0.000 0.000
Cr1 Cr 0.000 0.000 0.500
Cr2 Cr 0.250 0.250 0.750
Pb1 Pb 0.250 0.250 0.250
```

Energy relative to the elements   0.62 eV per atom

=====

(13)
The following is a GGA-PBE calculation of crystalline SrCrPb at its relaxed geometry, from Alexandria.

Structure (CIF):
```
data_SrCrPb
_symmetry_space_group_name_H-M 'F -4 3 m'
_symmetry_Int_Tables_number 216
_symmetry_space_group_name_Hall 'F -4 2 3'
_cell_length_a 7.512
_cell_length_b 7.512
_cell_length_c 7.512
_cell_angle_alpha 90.00
_cell_angle_beta 90.00
_cell_angle_gamma 90.00
loop_
_atom_site_label
_atom_site_type_symbol
_atom_site_fract_x
_atom_site_fract_y
_atom_site_fract_z
Sr1 Sr 0.000 0.000 0.000
Cr1 Cr 0.250 0.250 0.250
Pb1 Pb 0.250 0.250 0.750
```

Energy relative to the elements   0.73 eV per atom

=====

(14)
The following is a GGA-PBE calculation of crystalline SrCrPb2 at its relaxed geometry, from Alexandria.

Structure (CIF):
```
data_SrCrPb2
_symmetry_space_group_name_H-M 'I -4 2 d'
_symmetry_Int_Tables_number 122
_symmetry_space_group_name_Hall 'I -4 2bw'
_cell_length_a 5.210
_cell_length_b 5.210
_cell_length_c 19.870
_cell_angle_alpha 90.00
_cell_angle_beta 90.00
_cell_angle_gamma 90.00
loop_
_atom_site_label
_atom_site_type_symbol
_atom_site_fract_x
_atom_site_fract_y
_atom_site_fract_z
Sr1 Sr 0.000 0.000 0.000
Cr1 Cr 0.000 0.000 0.500
Pb1 Pb 0.167 0.250 0.625
```

Energy relative to the elements   0.27 eV per atom

=====

(15)
The following is a GGA-PBE calculation of crystalline SrCrPb2 at its relaxed geometry, from Alexandria.

Structure (CIF):
```
data_SrCrPb2
_symmetry_space_group_name_H-M 'P 4 m m'
_symmetry_Int_Tables_number 99
_symmetry_space_group_name_Hall 'P 4 -2'
_cell_length_a 3.981
_cell_length_b 3.981
_cell_length_c 7.587
_cell_angle_alpha 90.00
_cell_angle_beta 90.00
_cell_angle_gamma 90.00
loop_
_atom_site_label
_atom_site_type_symbol
_atom_site_fract_x
_atom_site_fract_y
_atom_site_fract_z
Sr1 Sr 0.000 0.000 0.000
Cr1 Cr 0.500 0.500 0.305
Pb1 Pb 0.000 0.000 0.452
Pb2 Pb 0.500 0.500 0.706
```

Energy relative to the elements   0.23 eV per atom

=====

(16)
The following is a GGA-PBE calculation of crystalline SrCrPb2 at its relaxed geometry, from Alexandria.

Structure (CIF):
```
data_SrCrPb2
_symmetry_space_group_name_H-M 'P 4/m m m'
_symmetry_Int_Tables_number 123
_symmetry_space_group_name_Hall '-P 4 2'
_cell_length_a 3.681
_cell_length_b 3.681
_cell_length_c 8.175
_cell_angle_alpha 90.00
_cell_angle_beta 90.00
_cell_angle_gamma 90.00
loop_
_atom_site_label
_atom_site_type_symbol
_atom_site_fract_x
_atom_site_fract_y
_atom_site_fract_z
Sr1 Sr 0.000 0.000 0.000
Cr1 Cr 0.000 0.000 0.500
Pb1 Pb 0.500 0.500 0.293
```

Energy relative to the elements   0.08 eV per atom

=====

(17)
The following is a GGA-PBE calculation of crystalline SrCr2Pb at its relaxed geometry, from Alexandria.

Structure (CIF):
```
data_SrCr2Pb
_symmetry_space_group_name_H-M 'I -4 2 d'
_symmetry_Int_Tables_number 122
_symmetry_space_group_name_Hall 'I -4 2bw'
_cell_length_a 8.476
_cell_length_b 8.476
_cell_length_c 6.562
_cell_angle_alpha 90.00
_cell_angle_beta 90.00
_cell_angle_gamma 90.00
loop_
_atom_site_label
_atom_site_type_symbol
_atom_site_fract_x
_atom_site_fract_y
_atom_site_fract_z
Sr1 Sr 0.000 0.000 0.000
Cr1 Cr 0.200 0.250 0.625
Pb1 Pb 0.000 0.000 0.500
```

Energy relative to the elements   0.81 eV per atom

=====

(18)
The following is a GGA-PBE calculation of crystalline SrCrPb2 at its relaxed geometry, from Alexandria.

Structure (CIF):
```
data_SrCrPb2
_symmetry_space_group_name_H-M 'P m m 2'
_symmetry_Int_Tables_number 25
_symmetry_space_group_name_Hall 'P 2 -2'
_cell_length_a 3.728
_cell_length_b 5.542
_cell_length_c 5.949
_cell_angle_alpha 90.00
_cell_angle_beta 90.00
_cell_angle_gamma 90.00
loop_
_atom_site_label
_atom_site_type_symbol
_atom_site_fract_x
_atom_site_fract_y
_atom_site_fract_z
Sr1 Sr 0.000 0.000 0.000
Cr1 Cr 0.500 0.500 0.720
Pb1 Pb 0.500 0.000 0.511
Pb2 Pb 0.500 0.500 0.215
```

Energy relative to the elements   0.20 eV per atom

=====

(19)
The following is a GGA-PBE calculation of crystalline SrCrPb2 at its relaxed geometry, from Alexandria.

Structure (CIF):
```
data_SrCrPb2
_symmetry_space_group_name_H-M 'R -3 m'
_symmetry_Int_Tables_number 166
_symmetry_space_group_name_Hall '-R 3 2"'
_cell_length_a 3.8677
_cell_length_b 3.8677
_cell_length_c 27.2238
_cell_angle_alpha 90.00
_cell_angle_beta 90.00
_cell_angle_gamma 120.00
loop_
_atom_site_label
_atom_site_type_symbol
_atom_site_fract_x
_atom_site_fract_y
_atom_site_fract_z
Sr1 Sr 0.0000 0.0000 0.0000
Cr1 Cr 0.0000 0.0000 0.5000
Pb1 Pb 0.0000 0.0000 0.2363
```

Energy relative to the elements   0.19 eV per atom

=====

(20)
The following is a GGA-PBE calculation of crystalline SrCr3Pb at its relaxed geometry, from Alexandria.

Structure (CIF):
```
data_SrCr3Pb
_symmetry_space_group_name_H-M 'P m -3 m'
_symmetry_Int_Tables_number 221
_symmetry_space_group_name_Hall '-P 4 2 3'
_cell_length_a 5.375
_cell_length_b 5.375
_cell_length_c 5.375
_cell_angle_alpha 90.00
_cell_angle_beta 90.00
_cell_angle_gamma 90.00
loop_
_atom_site_label
_atom_site_type_symbol
_atom_site_fract_x
_atom_site_fract_y
_atom_site_fract_z
Sr1 Sr 0.000 0.000 0.000
Cr1 Cr 0.000 0.500 0.500
Pb1 Pb 0.500 0.500 0.500
```

Polymorph energy (0 for the lowest one)   0.00 eV per formula unit
Energy relative to the elements   1.09 eV per atom

=====

no.,total DFT energy (no corrections) (eV/atom),total magnetization (μB/atom)
1,-3.83,1.0044
2,-4.92,1.7070
3,-5.21,0.5334
4,-4.76,1.5513
5,-4.46,1.1945
6,-4.51,1.0579
7,-5.86,0.0993
8,-4.90,1.5656
9,-4.58,1.0693
10,-5.50,2.2155
11,-4.54,1.1250
12,-5.54,2.3021
13,-4.27,1.3270
14,-4.41,1.0004
15,-4.45,1.1185
16,-4.60,0.9614
17,-5.35,2.2859
18,-4.48,1.1636
19,-4.49,0.8175
20,-5.77,2.7896